[1]
Here is a geometry-optimized ReSe2Cl structure from Alexandria via LeMat-Bulk. Energies are from GGA-PBE.

```
ReSe2Cl
1.0
5.146 0.000 0.000
0.000 6.508 -0.003
0.000 0.005 11.315
Cl Se Re
4 8 4
direct
0.250 0.095 0.750
0.750 0.905 0.250
0.250 0.595 0.250
0.750 0.405 0.750
0.765 0.940 0.943
0.265 0.560 0.557
0.235 0.060 0.057
0.765 0.440 0.057
0.735 0.440 0.443
0.235 0.560 0.943
0.735 0.940 0.557
0.265 0.060 0.443
0.000 0.250 0.589
0.000 0.750 0.411
0.500 0.750 0.089
0.500 0.250 0.911
```

Computed properties:
The energy above the lowest structure with this stoichiometry comes out at 0.0000 eV per atom. The symmetry is No. 52. As for the total magnetization: 0.000 μB/atom. The calculation puts the final energy at -86.90 eV per cell.

***

[2]
Here is a geometry-optimized ReSe2Cl structure from Alexandria via LeMat-Bulk. Energies are from GGA-PBE.

```
ReSe2Cl
1.0
-2.378 -0.498 -1.761
1.811 -2.236 0.850
-6.415 -1.716 9.148
Re Cl Se
1 1 2
direct
0.500 0.500 0.752
0.000 0.000 0.578
0.000 0.000 0.933
0.500 0.500 0.237
```

Computed properties:
The energy above the lowest structure with this stoichiometry comes out at 0.5673 eV per atom. The symmetry is No. 35. As for the total magnetization: 0.002 μB/atom. The calculation puts the final energy at -19.46 eV per cell.